Record 1
Compound: ZnInPdO4
Source: Alexandria
Functional: PBE-GGA
Structure: relaxed

The space group is Imma (No. 74) and the conventional cell measures 6.3544, 6.3956 and 8.7400 Å, with angles of 90.00, 90.00 and 90.00 degrees. Symmetry generates all atoms from Zn at (0.0000, 0.2500, 0.1199), In at (0.0000, 0.0000, 0.5000), Pd at (0.2500, 0.2500, 0.7500), O at (0.0000, 0.0182, 0.7506) and O at (0.2370, 0.2500, 0.5113).

The magnetic moment comes out at 0.001 μB per formula unit. For the raw formation energy, the calculation gives -1.029 eV/atom.

---

Record 2
Compound: Pd3BrO
Source: Alexandria
Functional: PBE-GGA
Structure: relaxed

The space group is Pm-3m (No. 221) and the conventional cell measures 4.7301, 4.7301 and 4.7301 Å, with angles of 90.00, 90.00 and 90.00 degrees. Symmetry generates all atoms from Pd at (0.0000, 0.0000, 0.5000), Br at (0.0000, 0.0000, 0.0000) and O at (0.5000, 0.5000, 0.5000).

The magnetic moment comes out at 0.001 μB per formula unit. For the excess energy over the best structure of this formula in the dataset, the calculation gives 86.4 kJ/mol of atoms. For the raw formation energy, the calculation gives 1.088 eV/atom.

---

Record 3
Compound: LaZr2W
Source: Alexandria
Functional: PBE-GGA
Structure: relaxed

The space group is Cmmm (No. 65) and the conventional cell measures 3.4204, 5.2273 and 10.4420 Å, with angles of 90.00, 90.00 and 90.00 degrees. Symmetry generates all atoms from La at (0.0000, 0.0000, 0.0000), Zr at (0.0000, 0.5000, 0.2945) and W at (0.0000, 0.0000, 0.5000).

The magnetic moment comes out at 0.000 μB per formula unit. For the excess energy over the best structure of this formula in the dataset, the calculation gives 9.5 kJ/mol of atoms. The calculation puts the calculated formation energy at 274 meV/atom.

---

Record 4
Compound: MnCrW2
Source: Alexandria
Functional: PBE-GGA
Structure: relaxed

The space group is P2/m (No. 10) and the conventional cell measures 2.6597, 4.1874 and 5.1122 Å, with angles of 90.00, 99.50 and 90.00 degrees. Symmetry generates all atoms from Mn at (0.0000, 0.0000, 0.0000), Cr at (0.5000, 0.0000, 0.5000) and W at (0.2544, 0.5000, 0.7491).

The magnetic moment comes out at 1.364 μB per formula unit. For the excess energy over the best structure of this formula in the dataset, the calculation gives 6.4 kJ/mol of atoms. The calculation puts the calculated formation energy at 136 meV/atom.

---

Record 5
Compound: CeNdSb2Pd2
Source: Alexandria
Functional: PBE-GGA
Structure: relaxed

The space group is P-3m1 (No. 164) and the conventional cell measures 4.6113, 4.6113 and 7.9995 Å, with angles of 90.00, 90.00 and 120.00 degrees. Symmetry generates all atoms from Ce at (0.0000, 0.0000, 0.0000), Nd at (0.0000, 0.0000, 0.5000), Sb at (0.3333, 0.6667, 0.2459) and Pd at (0.3333, 0.6667, 0.7467).

The magnetic moment comes out at 1.086 μB per formula unit. For the raw formation energy, the calculation gives -1.016 eV/atom.

---

Record 6
Compound: ZrAlRe
Source: Alexandria
Functional: PBE-GGA
Structure: relaxed

The space group is Imma (No. 74) and the conventional cell measures 5.2582, 5.3303 and 7.4136 Å, with angles of 90.00, 90.00 and 90.00 degrees. Symmetry generates all atoms from Zr at (0.0000, 0.2500, 0.1197), Al at (0.0000, 0.0000, 0.5000) and Re at (0.2500, 0.2500, 0.7500).

The magnetic moment comes out at 0.000 μB per formula unit. For the excess energy over the best structure of this formula in the dataset, the calculation gives 0.0 kJ/mol of atoms. The calculation puts the calculated formation energy at -465 meV/atom.

---

Record 7
Compound: Ta2AlAs
Source: Alexandria
Functional: PBE-GGA
Structure: relaxed

The space group is P4mm (No. 99) and the conventional cell measures 3.4540, 3.4540 and 5.6901 Å, with angles of 90.00, 90.00 and 90.00 degrees. Symmetry generates all atoms from Ta at (0.0000, 0.0000, 0.0000), Ta at (0.5000, 0.5000, 0.2616), Al at (0.0000, 0.0000, 0.4997) and As at (0.5000, 0.5000, 0.7610).

The magnetic moment comes out at 0.000 μB per formula unit. For the excess energy over the best structure of this formula in the dataset, the calculation gives 0.0 kJ/mol of atoms. The calculation puts the calculated formation energy at -216 meV/atom.

---

Record 8
Compound: GaFeNiMo
Source: Alexandria
Functional: PBE-GGA
Structure: relaxed

The space group is F-43m (No. 216) and the conventional cell measures 5.9172, 5.9172 and 5.9172 Å, with angles of 90.00, 90.00 and 90.00 degrees. Symmetry generates all atoms from Ga at (0.0000, 0.0000, 0.0000), Fe at (0.2500, 0.2500, 0.2500), Ni at (0.2500, 0.2500, 0.7500) and Mo at (0.0000, 0.0000, 0.5000).

The magnetic moment comes out at 1.379 μB per formula unit. The calculation puts the calculated formation energy at -31 meV/atom.

---

Record 9
Compound: CsScBeSe3
Source: Alexandria
Functional: PBE-GGA
Structure: relaxed

The space group is P2_1/m (No. 11) and the conventional cell measures 9.7111, 3.9007 and 9.8805 Å, with angles of 90.00, 115.02 and 90.00 degrees. Symmetry generates all atoms from Cs at (0.2186, 0.2500, 0.2443), Sc at (0.3333, 0.7500, 0.8619), Be at (0.0800, 0.2500, 0.6052), Se at (0.1305, 0.2500, 0.8460), Se at (0.1754, 0.7500, 0.5432) and Se at (0.4827, 0.7500, 0.1592).

The magnetic moment comes out at 0.000 μB per formula unit. For the raw formation energy, the calculation gives -1.342 eV/atom.

---

Record 10
Compound: PuCd2Ga2Au2
Source: Alexandria
Functional: PBE-GGA
Structure: relaxed

The space group is R-3m (No. 166, hexagonal axes) and the conventional cell measures 4.5436, 4.5436 and 25.2320 Å, with angles of 90.00, 90.00 and 120.00 degrees. Symmetry generates all atoms from Pu at (0.0000, 0.0000, 0.0000), Cd at (0.0000, 0.0000, 0.1373), Ga at (0.0000, 0.0000, 0.2604) and Au at (0.0000, 0.0000, 0.4073).

The magnetic moment comes out at 5.585 μB per formula unit. The calculation puts the calculated formation energy at -274 meV/atom.

---

Record 11
Compound: RbZn
Source: Alexandria
Functional: PBE-GGA
Structure: relaxed

The space group is P6_3/mmc (No. 194) and the conventional cell measures 12.7495, 12.7495 and 4.7820 Å, with angles of 90.00, 90.00 and 120.00 degrees. Symmetry generates all atoms from Rb at (0.2111, 0.4221, 0.2500) and Zn at (0.0363, 0.5181, 0.7500).

The magnetic moment comes out at 0.000 μB per formula unit. The calculation puts the calculated formation energy at 134 meV/atom.

---

Record 12
Compound: Li2GaH6
Source: Alexandria
Functional: PBE-GGA
Structure: relaxed

The space group is P2_1/c (No. 14) and the conventional cell measures 5.3432, 5.7223 and 5.9174 Å, with angles of 90.00, 123.32 and 90.00 degrees. Symmetry generates all atoms from Li at (0.1905, 0.0868, 0.4168), Ga at (0.5000, 0.0000, 0.0000), H at (0.1354, 0.1257, 0.7196), H at (0.3847, 0.7230, 0.8974) and H at (0.3858, 0.5226, 0.7128).

The magnetic moment comes out at 0.000 μB per formula unit. For the excess energy over the best structure of this formula in the dataset, the calculation gives 0.0 kJ/mol of atoms.